Entry 1:
Ta2InPd after structural relaxation, computed with PBE-GGA.

```
Ta2InPd
1.0
0.000 3.319 3.319
3.319 0.000 3.319
3.319 3.319 0.000
Ta In Pd
2 1 1
direct
0.000 0.000 0.000
0.250 0.250 0.250
0.500 0.500 0.500
0.750 0.750 0.750
```

## Properties
crystal system	cubic
space group	No. 216
M_tot	0.500	Bohr magnetons per cell

=====

Entry 2:
Tb2In8Pd after structural relaxation, computed with PBE-GGA.

```
Tb2In8Pd
1.0
4.703 0.000 0.000
0.000 4.703 0.000
0.000 0.000 12.141
Tb In Pd
2 8 1
direct
0.000 0.000 0.189
0.000 0.000 0.811
0.000 0.500 0.000
0.000 0.500 0.374
0.000 0.500 0.626
0.500 0.000 0.000
0.500 0.000 0.374
0.500 0.000 0.626
0.500 0.500 0.191
0.500 0.500 0.809
0.000 0.000 0.500
```

## Properties
crystal system	tetragonal
space group	No. 123
M_tot	0.011	Bohr magnetons per cell

=====

Entry 3:
TbInPd2 after structural relaxation, computed with PBE-GGA.

```
TbInPd2
1.0
4.772 0.000 0.000
0.000 4.772 0.000
0.000 0.000 3.454
Tb In Pd
1 1 2
direct
0.000 0.000 0.000
0.500 0.500 0.000
0.000 0.500 0.500
0.500 0.000 0.500
```

## Properties
crystal system	tetragonal
space group	No. 123
M_tot	0.002	Bohr magnetons per cell

=====

Entry 4:
Tb11In9Pd4 after structural relaxation, computed with PBE-GGA.

```
Tb11In9Pd4
1.0
7.337 -11.035 0.000
7.337 11.035 0.000
0.000 0.000 3.699
Tb In Pd
11 9 4
direct
0.000 0.000 0.000
0.072 0.414 0.000
0.162 0.838 0.000
0.307 0.307 0.000
0.373 0.627 0.000
0.414 0.072 0.000
0.586 0.928 0.000
0.627 0.373 0.000
0.693 0.693 0.000
0.838 0.162 0.000
0.928 0.586 0.000
0.072 0.216 0.500
0.158 0.632 0.500
0.216 0.072 0.500
0.368 0.842 0.500
0.500 0.500 0.500
0.632 0.158 0.500
0.784 0.928 0.500
0.842 0.368 0.500
0.928 0.784 0.500
0.246 0.448 0.500
0.448 0.246 0.500
0.552 0.754 0.500
0.754 0.552 0.500
```

## Properties
crystal system	orthorhombic
space group	No. 65
M_tot	0.015	Bohr magnetons per cell

=====

Entry 5:
TbTmIn2Pd4 after structural relaxation, computed with PBE-GGA.

```
TbTmIn2Pd4
1.0
4.590 0.000 0.000
-2.295 3.975 0.000
0.000 0.000 8.879
Tb Tm In Pd
1 1 2 4
direct
0.000 0.000 0.000
0.667 0.333 0.500
0.333 0.667 0.253
0.333 0.667 0.747
0.000 0.000 0.340
0.000 0.000 0.660
0.667 0.333 0.165
0.667 0.333 0.835
```

## Properties
crystal system	hexagonal
space group	No. 187
M_tot	0.002	Bohr magnetons per cell

=====

Entry 6:
TbYIn2Pd4 after structural relaxation, computed with PBE-GGA.

```
TbYIn2Pd4
1.0
4.608 0.000 0.000
-2.304 3.991 0.000
0.000 0.000 8.947
Tb Y In Pd
1 1 2 4
direct
0.000 0.000 0.000
0.333 0.667 0.500
0.667 0.333 0.250
0.667 0.333 0.750
0.000 0.000 0.336
0.000 0.000 0.664
0.333 0.667 0.164
0.333 0.667 0.836
```

## Properties
crystal system	hexagonal
space group	No. 187
M_tot	0.006	Bohr magnetons per cell

=====

no.,final energy (eV for the cell shown)
1,-30.82
2,-40.96
3,-20.58
4,-112.59
5,-41.87
6,-43.86